Run i
VASP calculation (PBE) on a relaxed Na3OsI crystal.

Geometry as POSCAR:
```
Na3OsI
1.0
5.7228 0.0000 0.0000
0.0000 5.7228 0.0000
0.0000 0.0000 5.7228
Na Os I
3 1 1
Direct
0.0000 0.0000 0.5000
0.0000 0.5000 0.0000
0.5000 0.0000 0.0000
0.0000 0.0000 0.0000
0.5000 0.5000 0.5000
```

total moment = 2.02 μB/cell
DOS(E_F) = 19.40 states/eV/f.u.
volume = 187.4 Å³/cell



Run ii
VASP calculation (PBE) on a relaxed Na3OsI crystal.

Geometry as POSCAR:
```
Na3OsI
1.0
5.7377 0.0000 0.0000
0.0000 5.7377 0.0000
0.0000 0.0000 5.7377
Na Os I
3 1 1
Direct
0.0000 0.0000 0.5000
0.0000 0.5000 0.0000
0.5000 0.0000 0.0000
0.5000 0.5000 0.5000
0.0000 0.0000 0.0000
```

total moment = 2.18 μB/cell
DOS(E_F) = 24.10 states/eV/f.u.
volume = 188.9 Å³/cell



Verdict on stability: run i comes out on top.